(A)
A plane-wave DFT calculation with PBE was carried out for a geometry-optimized PbN2F2 structure.

Geometry as CIF:
```
data_PbN2F2
_symmetry_space_group_name_H-M 'P 1'
_symmetry_Int_Tables_number 1
_cell_length_a 4.600
_cell_length_b 4.600
_cell_length_c 4.738
_cell_angle_alpha 90.00
_cell_angle_beta 90.00
_cell_angle_gamma 90.00
loop_
_symmetry_equiv_pos_as_xyz
'x,y,z'
loop_
_atom_site_label
_atom_site_fract_x
_atom_site_fract_y
_atom_site_fract_z
_atom_site_occupancy
Pb1 0.000 0.000 0.000 1
N1 0.500 0.500 0.500 1
N2 0.000 0.000 0.500 1
F1 0.000 0.500 0.000 1
F2 0.500 0.000 0.000 1
```

Output
magnetic moment: 4.99 μB/cell

---

(B)
A plane-wave DFT calculation with PBE was carried out for a geometry-optimized PbN2F2 structure.

Geometry as CIF:
```
data_PbN2F2
_symmetry_space_group_name_H-M 'P 1'
_symmetry_Int_Tables_number 1
_cell_length_a 4.003
_cell_length_b 3.999
_cell_length_c 12.826
_cell_angle_alpha 40.05
_cell_angle_beta 102.38
_cell_angle_gamma 119.96
loop_
_symmetry_equiv_pos_as_xyz
'x,y,z'
loop_
_atom_site_label
_atom_site_fract_x
_atom_site_fract_y
_atom_site_fract_z
_atom_site_occupancy
Pb1 0.000 0.000 0.000 1
N1 0.392 0.276 0.565 1
N2 0.608 0.724 0.435 1
F1 0.243 0.313 0.126 1
F2 0.757 0.687 0.874 1
```

Output
magnetic moment: 0.00 μB/cell

---

(B) (198.8 kJ/mol of atoms below the next structure)

---

(A)
A plane-wave DFT calculation with PBE was carried out for a geometry-optimized PdPbN2F structure.

Geometry as CIF:
```
data_PdPbN2F
_symmetry_space_group_name_H-M 'P 1'
_symmetry_Int_Tables_number 1
_cell_length_a 4.253
_cell_length_b 4.253
_cell_length_c 4.200
_cell_angle_alpha 90.00
_cell_angle_beta 90.00
_cell_angle_gamma 90.00
loop_
_symmetry_equiv_pos_as_xyz
'x,y,z'
loop_
_atom_site_label
_atom_site_fract_x
_atom_site_fract_y
_atom_site_fract_z
_atom_site_occupancy
Pb1 0.000 0.000 0.000 1
N1 0.000 0.500 0.000 1
N2 0.500 0.000 0.000 1
Pd1 0.500 0.500 0.500 1
F1 0.000 0.000 0.500 1
```

Output
magnetic moment: 1.63 μB/cell

---

(B)
A plane-wave DFT calculation with PBE was carried out for a geometry-optimized PdPbN2F structure.

Geometry as CIF:
```
data_PdPbN2F
_symmetry_space_group_name_H-M 'P 1'
_symmetry_Int_Tables_number 1
_cell_length_a 3.961
_cell_length_b 3.961
_cell_length_c 5.826
_cell_angle_alpha 90.00
_cell_angle_beta 90.00
_cell_angle_gamma 90.00
loop_
_symmetry_equiv_pos_as_xyz
'x,y,z'
loop_
_atom_site_label
_atom_site_fract_x
_atom_site_fract_y
_atom_site_fract_z
_atom_site_occupancy
Pb1 0.500 0.500 0.500 1
N1 0.000 0.500 0.000 1
N2 0.500 0.000 0.000 1
Pd1 0.000 0.000 0.000 1
F1 0.000 0.000 0.500 1
```

Output
magnetic moment: 2.62 μB/cell

---

(B) (61.6 kJ/mol of atoms below the next structure)

---

(A)
A plane-wave DFT calculation with PBE was carried out for a geometry-optimized PtPbNF2 structure.

Geometry as CIF:
```
data_PtPbNF2
_symmetry_space_group_name_H-M 'P 1'
_symmetry_Int_Tables_number 1
_cell_length_a 4.807
_cell_length_b 4.807
_cell_length_c 3.674
_cell_angle_alpha 90.00
_cell_angle_beta 90.00
_cell_angle_gamma 90.00
loop_
_symmetry_equiv_pos_as_xyz
'x,y,z'
loop_
_atom_site_label
_atom_site_fract_x
_atom_site_fract_y
_atom_site_fract_z
_atom_site_occupancy
Pb1 0.500 0.500 0.500 1
N1 0.000 0.000 0.500 1
Pt1 0.000 0.000 0.000 1
F1 0.000 0.500 0.000 1
F2 0.500 0.000 0.000 1
```

Output
magnetic moment: 0.00 μB/cell

---

(B)
A plane-wave DFT calculation with PBE was carried out for a geometry-optimized PtPbNF2 structure.

Geometry as CIF:
```
data_PtPbNF2
_symmetry_space_group_name_H-M 'P 1'
_symmetry_Int_Tables_number 1
_cell_length_a 4.358
_cell_length_b 4.358
_cell_length_c 4.456
_cell_angle_alpha 90.00
_cell_angle_beta 90.00
_cell_angle_gamma 90.00
loop_
_symmetry_equiv_pos_as_xyz
'x,y,z'
loop_
_atom_site_label
_atom_site_fract_x
_atom_site_fract_y
_atom_site_fract_z
_atom_site_occupancy
Pb1 0.000 0.000 0.000 1
N1 0.000 0.000 0.500 1
Pt1 0.500 0.500 0.500 1
F1 0.000 0.500 0.000 1
F2 0.500 0.000 0.000 1
```

Output
magnetic moment: 0.77 μB/cell

---

(A) (75.6 kJ/mol of atoms below the next structure)

---

(A)
A plane-wave DFT calculation with PBE was carried out for a geometry-optimized RhPbNF2 structure.

Geometry as CIF:
```
data_RhPbNF2
_symmetry_space_group_name_H-M 'P 1'
_symmetry_Int_Tables_number 1
_cell_length_a 4.465
_cell_length_b 4.465
_cell_length_c 4.404
_cell_angle_alpha 90.00
_cell_angle_beta 90.00
_cell_angle_gamma 90.00
loop_
_symmetry_equiv_pos_as_xyz
'x,y,z'
loop_
_atom_site_label
_atom_site_fract_x
_atom_site_fract_y
_atom_site_fract_z
_atom_site_occupancy
Pb1 0.000 0.000 0.000 1
N1 0.000 0.000 0.500 1
Rh1 0.500 0.500 0.500 1
F1 0.000 0.500 0.000 1
F2 0.500 0.000 0.000 1
```

Output
magnetic moment: 2.60 μB/cell

---

(B)
A plane-wave DFT calculation with PBE was carried out for a geometry-optimized RhPbNF2 structure.

Geometry as CIF:
```
data_RhPbNF2
_symmetry_space_group_name_H-M 'P 1'
_symmetry_Int_Tables_number 1
_cell_length_a 4.567
_cell_length_b 4.567
_cell_length_c 3.699
_cell_angle_alpha 90.00
_cell_angle_beta 90.00
_cell_angle_gamma 90.00
loop_
_symmetry_equiv_pos_as_xyz
'x,y,z'
loop_
_atom_site_label
_atom_site_fract_x
_atom_site_fract_y
_atom_site_fract_z
_atom_site_occupancy
Pb1 0.500 0.500 0.500 1
N1 0.000 0.000 0.500 1
Rh1 0.000 0.000 0.000 1
F1 0.000 0.500 0.000 1
F2 0.500 0.000 0.000 1
```

Output
magnetic moment: 0.00 μB/cell

---

(B) (84.0 kJ/mol of atoms below the next structure)

---

(A)
A plane-wave DFT calculation with PBE was carried out for a geometry-optimized RuPbNF2 structure.

Geometry as CIF:
```
data_RuPbNF2
_symmetry_space_group_name_H-M 'P 1'
_symmetry_Int_Tables_number 1
_cell_length_a 4.428
_cell_length_b 4.428
_cell_length_c 3.772
_cell_angle_alpha 90.00
_cell_angle_beta 90.00
_cell_angle_gamma 90.00
loop_
_symmetry_equiv_pos_as_xyz
'x,y,z'
loop_
_atom_site_label
_atom_site_fract_x
_atom_site_fract_y
_atom_site_fract_z
_atom_site_occupancy
Pb1 0.500 0.500 0.500 1
Ru1 0.000 0.000 0.000 1
N1 0.000 0.000 0.500 1
F1 0.000 0.500 0.000 1
F2 0.500 0.000 0.000 1
```

Output
magnetic moment: 0.09 μB/cell

---

(B)
A plane-wave DFT calculation with PBE was carried out for a geometry-optimized RuPbNF2 structure.

Geometry as CIF:
```
data_RuPbNF2
_symmetry_space_group_name_H-M 'P 1'
_symmetry_Int_Tables_number 1
_cell_length_a 4.500
_cell_length_b 4.500
_cell_length_c 4.388
_cell_angle_alpha 90.00
_cell_angle_beta 90.00
_cell_angle_gamma 90.00
loop_
_symmetry_equiv_pos_as_xyz
'x,y,z'
loop_
_atom_site_label
_atom_site_fract_x
_atom_site_fract_y
_atom_site_fract_z
_atom_site_occupancy
Pb1 0.000 0.000 0.000 1
Ru1 0.500 0.500 0.500 1
N1 0.000 0.000 0.500 1
F1 0.000 0.500 0.000 1
F2 0.500 0.000 0.000 1
```

Output
magnetic moment: 3.72 μB/cell

---

(A) (100.7 kJ/mol of atoms below the next structure)

---

(A)
A plane-wave DFT calculation with PBE was carried out for a geometry-optimized PbS2NF structure.

Geometry as CIF:
```
data_PbS2NF
_symmetry_space_group_name_H-M 'P 1'
_symmetry_Int_Tables_number 1
_cell_length_a 4.258
_cell_length_b 4.258
_cell_length_c 5.078
_cell_angle_alpha 90.00
_cell_angle_beta 90.00
_cell_angle_gamma 90.00
loop_
_symmetry_equiv_pos_as_xyz
'x,y,z'
loop_
_atom_site_label
_atom_site_fract_x
_atom_site_fract_y
_atom_site_fract_z
_atom_site_occupancy
Pb1 0.500 0.500 0.500 1
S1 0.000 0.500 0.000 1
S2 0.500 0.000 0.000 1
N1 0.000 0.000 0.500 1
F1 0.000 0.000 0.000 1
```

Output
magnetic moment: 2.31 μB/cell

---

(B)
A plane-wave DFT calculation with PBE was carried out for a geometry-optimized PbS2NF structure.

Geometry as CIF:
```
data_PbS2NF
_symmetry_space_group_name_H-M 'P 1'
_symmetry_Int_Tables_number 1
_cell_length_a 5.319
_cell_length_b 5.319
_cell_length_c 4.536
_cell_angle_alpha 90.00
_cell_angle_beta 90.00
_cell_angle_gamma 90.00
loop_
_symmetry_equiv_pos_as_xyz
'x,y,z'
loop_
_atom_site_label
_atom_site_fract_x
_atom_site_fract_y
_atom_site_fract_z
_atom_site_occupancy
Pb1 0.000 0.000 0.000 1
S1 0.000 0.500 0.000 1
S2 0.500 0.000 0.000 1
N1 0.000 0.000 0.500 1
F1 0.500 0.500 0.500 1
```

Output
magnetic moment: 4.44 μB/cell

---

(A) (21.8 kJ/mol of atoms below the next structure)